Record 1
# KTcOs3 (PBE, optimized geometry)
data_KTcOs3
_cell_length_a 4.460
_cell_length_b 4.460
_cell_length_c 4.460
_cell_angle_alpha 90.00
_cell_angle_beta 90.00
_cell_angle_gamma 90.00
_space_group_name_H-M_alt 'P m -3 m'
_space_group_IT_number 221
_space_group_name_Hall '-P 4 2 3'
loop_
_atom_site_label
_atom_site_type_symbol
_atom_site_fract_x
_atom_site_fract_y
_atom_site_fract_z
_atom_site_occupancy
K1 K 0.000 0.000 0.000 1
Tc1 Tc 0.500 0.500 0.500 1
Os1 Os 0.000 0.000 0.500 1
# total DFT energy (no corrections) = -25.377 eV/cell
# DFT formation energy = 91.21 kcal/mol of atoms
# magnetization = 0.00 Bohr magnetons per cell
# distance to the lowest polymorph of the same formula = 1920 meV/atom



Record 2
# K2TcOs (PBE, optimized geometry)
data_K2TcOs
_cell_length_a 3.798
_cell_length_b 5.913
_cell_length_c 10.922
_cell_angle_alpha 90.00
_cell_angle_beta 90.00
_cell_angle_gamma 90.00
_space_group_name_H-M_alt 'I m m 2'
_space_group_IT_number 44
_space_group_name_Hall 'I 2 -2'
loop_
_atom_site_label
_atom_site_type_symbol
_atom_site_fract_x
_atom_site_fract_y
_atom_site_fract_z
_atom_site_occupancy
K1 K 0.000 0.000 0.000 1
K2 K 0.000 0.500 0.208 1
Tc1 Tc 0.000 0.500 0.801 1
Os1 Os 0.000 0.000 0.418 1
# total DFT energy (no corrections) = -38.993 eV/cell
# DFT formation energy = 24.76 kcal/mol of atoms
# magnetization = 0.00 Bohr magnetons per cell
# distance to the lowest polymorph of the same formula = 327 meV/atom



Record 3
# K2TcOs (PBE, optimized geometry)
data_K2TcOs
_cell_length_a 2.685
_cell_length_b 5.838
_cell_length_c 5.189
_cell_angle_alpha 90.00
_cell_angle_beta 99.69
_cell_angle_gamma 90.00
_space_group_name_H-M_alt 'P 1 2/m 1'
_space_group_IT_number 10
_space_group_name_Hall '-P 2y'
loop_
_atom_site_label
_atom_site_type_symbol
_atom_site_fract_x
_atom_site_fract_y
_atom_site_fract_z
_atom_site_occupancy
K1 K 0.241 0.000 0.252 1
Tc1 Tc 0.500 0.500 0.000 1
Os1 Os 0.000 0.500 0.500 1
# total DFT energy (no corrections) = -18.415 eV/cell
# DFT formation energy = 30.99 kcal/mol of atoms
# magnetization = 0.00 Bohr magnetons per cell
# distance to the lowest polymorph of the same formula = 597 meV/atom



Record 4
# K2TcOs (PBE, optimized geometry)
data_K2TcOs
_cell_length_a 6.475
_cell_length_b 6.475
_cell_length_c 2.555
_cell_angle_alpha 90.00
_cell_angle_beta 90.00
_cell_angle_gamma 90.00
_space_group_name_H-M_alt 'P 4/m m m'
_space_group_IT_number 123
_space_group_name_Hall '-P 4 2'
loop_
_atom_site_label
_atom_site_type_symbol
_atom_site_fract_x
_atom_site_fract_y
_atom_site_fract_z
_atom_site_occupancy
K1 K 0.000 0.500 0.000 1
Tc1 Tc 0.000 0.000 0.500 1
Os1 Os 0.500 0.500 0.500 1
# total DFT energy (no corrections) = -16.158 eV/cell
# DFT formation energy = 44.01 kcal/mol of atoms
# magnetization = 3.36 Bohr magnetons per cell
# distance to the lowest polymorph of the same formula = 1162 meV/atom



Record 5
# K2TcOs (PBE, optimized geometry)
data_K2TcOs
_cell_length_a 3.763
_cell_length_b 3.763
_cell_length_c 5.772
_cell_angle_alpha 90.00
_cell_angle_beta 90.00
_cell_angle_gamma 90.00
_space_group_name_H-M_alt 'P 4/m m m'
_space_group_IT_number 123
_space_group_name_Hall '-P 4 2'
loop_
_atom_site_label
_atom_site_type_symbol
_atom_site_fract_x
_atom_site_fract_y
_atom_site_fract_z
_atom_site_occupancy
K1 K 0.000 0.500 0.000 1
Tc1 Tc 0.000 0.000 0.500 1
Os1 Os 0.500 0.500 0.500 1
# total DFT energy (no corrections) = -18.356 eV/cell
# DFT formation energy = 31.33 kcal/mol of atoms
# magnetization = 0.00 Bohr magnetons per cell
# distance to the lowest polymorph of the same formula = 612 meV/atom



Record 6
# KTc2Os (PBE, optimized geometry)
data_KTc2Os
_cell_length_a 2.8051
_cell_length_b 2.8051
_cell_length_c 31.0841
_cell_angle_alpha 90.00
_cell_angle_beta 90.00
_cell_angle_gamma 120.00
_space_group_name_H-M_alt 'R -3 m'
_space_group_IT_number 166
_space_group_name_Hall '-R 3 2"'
loop_
_atom_site_label
_atom_site_type_symbol
_atom_site_fract_x
_atom_site_fract_y
_atom_site_fract_z
_atom_site_occupancy
K1 K 0.0000 0.0000 0.0000 1
Tc1 Tc 0.0000 0.0000 0.2349 1
Os1 Os 0.0000 0.0000 0.5000 1
# total DFT energy (no corrections) = -89.967 eV/cell
# DFT formation energy = 17.70 kcal/mol of atoms
# magnetization = 0.00 Bohr magnetons per cell
# distance to the lowest polymorph of the same formula = 61 meV/atom



Record 7
# KTc2Os (PBE, optimized geometry)
data_KTc2Os
_cell_length_a 2.720
_cell_length_b 3.789
_cell_length_c 8.116
_cell_angle_alpha 90.00
_cell_angle_beta 90.63
_cell_angle_gamma 90.00
_space_group_name_H-M_alt 'P 1 m 1'
_space_group_IT_number 6
_space_group_name_Hall 'P -2y'
loop_
_atom_site_label
_atom_site_type_symbol
_atom_site_fract_x
_atom_site_fract_y
_atom_site_fract_z
_atom_site_occupancy
K1 K 0.000 0.000 0.000 1
Tc1 Tc 0.076 0.000 0.485 1
Tc2 Tc 0.526 0.500 0.649 1
Os1 Os 0.537 0.500 0.334 1
# total DFT energy (no corrections) = -29.783 eV/cell
# DFT formation energy = 18.89 kcal/mol of atoms
# magnetization = 0.00 Bohr magnetons per cell
# distance to the lowest polymorph of the same formula = 112 meV/atom



Record 8
# KTc2Os (PBE, optimized geometry)
data_KTc2Os
_cell_length_a 9.222
_cell_length_b 2.798
_cell_length_c 6.831
_cell_angle_alpha 90.00
_cell_angle_beta 97.07
_cell_angle_gamma 90.00
_space_group_name_H-M_alt 'C 1 m 1'
_space_group_IT_number 8
_space_group_name_Hall 'C -2y'
loop_
_atom_site_label
_atom_site_type_symbol
_atom_site_fract_x
_atom_site_fract_y
_atom_site_fract_z
_atom_site_occupancy
K1 K 0.000 0.000 0.000 1
Tc1 Tc 0.000 0.500 0.510 1
Tc2 Tc 0.283 0.500 0.359 1
Os1 Os 0.222 0.000 0.643 1
# total DFT energy (no corrections) = -58.522 eV/cell
# DFT formation energy = 21.90 kcal/mol of atoms
# magnetization = 0.00 Bohr magnetons per cell
# distance to the lowest polymorph of the same formula = 243 meV/atom



Record 9
# KTcOs3 (PBE, optimized geometry)
data_KTcOs3
_cell_length_a 4.772
_cell_length_b 4.772
_cell_length_c 4.772
_cell_angle_alpha 90.00
_cell_angle_beta 90.00
_cell_angle_gamma 90.00
_space_group_name_H-M_alt 'P m -3 m'
_space_group_IT_number 221
_space_group_name_Hall '-P 4 2 3'
loop_
_atom_site_label
_atom_site_type_symbol
_atom_site_fract_x
_atom_site_fract_y
_atom_site_fract_z
_atom_site_occupancy
K1 K 0.000 0.000 0.000 1
Tc1 Tc 0.500 0.500 0.500 1
Os1 Os 0.000 0.500 0.500 1
# total DFT energy (no corrections) = -34.975 eV/cell
# DFT formation energy = 46.94 kcal/mol of atoms
# magnetization = 0.52 Bohr magnetons per cell
# distance to the lowest polymorph of the same formula = 0 meV/atom



Record 10
# KTc2Os (PBE, optimized geometry)
data_KTc2Os
_cell_length_a 2.879
_cell_length_b 4.630
_cell_length_c 10.395
_cell_angle_alpha 90.00
_cell_angle_beta 90.00
_cell_angle_gamma 90.00
_space_group_name_H-M_alt 'C m m 2'
_space_group_IT_number 35
_space_group_name_Hall 'C 2 -2'
loop_
_atom_site_label
_atom_site_type_symbol
_atom_site_fract_x
_atom_site_fract_y
_atom_site_fract_z
_atom_site_occupancy
K1 K 0.000 0.000 0.000 1
Tc1 Tc 0.000 0.000 0.497 1
Tc2 Tc 0.000 0.500 0.709 1
Os1 Os 0.000 0.500 0.282 1
# total DFT energy (no corrections) = -59.251 eV/cell
# DFT formation energy = 19.80 kcal/mol of atoms
# magnetization = 0.00 Bohr magnetons per cell
# distance to the lowest polymorph of the same formula = 152 meV/atom



Record 11
# K2TcOs (PBE, optimized geometry)
data_K2TcOs
_cell_length_a 3.259
_cell_length_b 4.252
_cell_length_c 11.660
_cell_angle_alpha 90.00
_cell_angle_beta 90.00
_cell_angle_gamma 90.00
_space_group_name_H-M_alt 'C m m m'
_space_group_IT_number 65
_space_group_name_Hall '-C 2 2'
loop_
_atom_site_label
_atom_site_type_symbol
_atom_site_fract_x
_atom_site_fract_y
_atom_site_fract_z
_atom_site_occupancy
K1 K 0.000 0.000 0.246 1
Tc1 Tc 0.000 0.500 0.500 1
Os1 Os 0.000 0.500 0.000 1
# total DFT energy (no corrections) = -36.743 eV/cell
# DFT formation energy = 31.24 kcal/mol of atoms
# magnetization = 0.00 Bohr magnetons per cell
# distance to the lowest polymorph of the same formula = 608 meV/atom



Record 12
# KTc2Os (PBE, optimized geometry)
data_KTc2Os
_cell_length_a 9.233
_cell_length_b 2.754
_cell_length_c 6.734
_cell_angle_alpha 90.00
_cell_angle_beta 95.56
_cell_angle_gamma 90.00
_space_group_name_H-M_alt 'C 1 2/m 1'
_space_group_IT_number 12
_space_group_name_Hall '-C 2y'
loop_
_atom_site_label
_atom_site_type_symbol
_atom_site_fract_x
_atom_site_fract_y
_atom_site_fract_z
_atom_site_occupancy
K1 K 0.000 0.000 0.000 1
Tc1 Tc 0.222 0.000 0.647 1
Os1 Os 0.000 0.500 0.500 1
# total DFT energy (no corrections) = -58.576 eV/cell
# DFT formation energy = 21.74 kcal/mol of atoms
# magnetization = 0.00 Bohr magnetons per cell
# distance to the lowest polymorph of the same formula = 236 meV/atom



Record 13
# KTc2Os (PBE, optimized geometry)
data_KTc2Os
_cell_length_a 5.677
_cell_length_b 9.466
_cell_length_c 2.542
_cell_angle_alpha 90.00
_cell_angle_beta 90.00
_cell_angle_gamma 90.00
_space_group_name_H-M_alt 'C m m m'
_space_group_IT_number 65
_space_group_name_Hall '-C 2 2'
loop_
_atom_site_label
_atom_site_type_symbol
_atom_site_fract_x
_atom_site_fract_y
_atom_site_fract_z
_atom_site_occupancy
K1 K 0.000 0.000 0.000 1
Tc1 Tc 0.250 0.250 0.500 1
Os1 Os 0.000 0.500 0.000 1
# total DFT energy (no corrections) = -54.287 eV/cell
# DFT formation energy = 34.11 kcal/mol of atoms
# magnetization = 0.41 Bohr magnetons per cell
# distance to the lowest polymorph of the same formula = 772 meV/atom



Record 14
# KTc2Os (PBE, optimized geometry)
data_KTc2Os
_cell_length_a 2.7890
_cell_length_b 2.7890
_cell_length_c 30.8707
_cell_angle_alpha 90.00
_cell_angle_beta 90.00
_cell_angle_gamma 120.00
_space_group_name_H-M_alt 'R 3 m'
_space_group_IT_number 160
_space_group_name_Hall 'R 3 -2"'
loop_
_atom_site_label
_atom_site_type_symbol
_atom_site_fract_x
_atom_site_fract_y
_atom_site_fract_z
_atom_site_occupancy
K1 K 0.0000 0.0000 0.0000 1
Tc1 Tc 0.0000 0.0000 0.2345 1
Tc2 Tc 0.0000 0.0000 0.4992 1
Os1 Os 0.0000 0.0000 0.7624 1
# total DFT energy (no corrections) = -90.694 eV/cell
# DFT formation energy = 16.30 kcal/mol of atoms
# magnetization = 0.00 Bohr magnetons per cell
# distance to the lowest polymorph of the same formula = 0 meV/atom



Record 15
# KTc2Os (PBE, optimized geometry)
data_KTc2Os
_cell_length_a 2.725
_cell_length_b 3.752
_cell_length_c 8.250
_cell_angle_alpha 90.00
_cell_angle_beta 90.00
_cell_angle_gamma 90.00
_space_group_name_H-M_alt 'P m m m'
_space_group_IT_number 47
_space_group_name_Hall '-P 2 2'
loop_
_atom_site_label
_atom_site_type_symbol
_atom_site_fract_x
_atom_site_fract_y
_atom_site_fract_z
_atom_site_occupancy
K1 K 0.000 0.000 0.000 1
Tc1 Tc 0.500 0.500 0.344 1
Os1 Os 0.000 0.000 0.500 1
# total DFT energy (no corrections) = -29.864 eV/cell
# DFT formation energy = 18.42 kcal/mol of atoms
# magnetization = 0.00 Bohr magnetons per cell
# distance to the lowest polymorph of the same formula = 92 meV/atom



Record 16
# KTcOs4 (PBE, optimized geometry)
data_KTcOs4
_cell_length_a 7.405
_cell_length_b 7.405
_cell_length_c 7.405
_cell_angle_alpha 90.00
_cell_angle_beta 90.00
_cell_angle_gamma 90.00
_space_group_name_H-M_alt 'F -4 3 m'
_space_group_IT_number 216
_space_group_name_Hall 'F -4 2 3'
loop_
_atom_site_label
_atom_site_type_symbol
_atom_site_fract_x
_atom_site_fract_y
_atom_site_fract_z
_atom_site_occupancy
K1 K 0.000 0.000 0.000 1
Tc1 Tc 0.250 0.250 0.250 1
Os1 Os 0.125 0.125 0.625 1
# total DFT energy (no corrections) = -198.284 eV/cell
# DFT formation energy = 26.18 kcal/mol of atoms
# magnetization = 0.01 Bohr magnetons per cell



Record 17
# K2TcOs (PBE, optimized geometry)
data_K2TcOs
_cell_length_a 6.900
_cell_length_b 6.900
_cell_length_c 6.900
_cell_angle_alpha 90.00
_cell_angle_beta 90.00
_cell_angle_gamma 90.00
_space_group_name_H-M_alt 'F -4 3 m'
_space_group_IT_number 216
_space_group_name_Hall 'F -4 2 3'
loop_
_atom_site_label
_atom_site_type_symbol
_atom_site_fract_x
_atom_site_fract_y
_atom_site_fract_z
_atom_site_occupancy
K1 K 0.000 0.000 0.000 1
K2 K 0.250 0.250 0.250 1
Tc1 Tc 0.000 0.000 0.500 1
Os1 Os 0.250 0.250 0.750 1
# total DFT energy (no corrections) = -67.575 eV/cell
# DFT formation energy = 39.76 kcal/mol of atoms
# magnetization = 0.00 Bohr magnetons per cell
# distance to the lowest polymorph of the same formula = 978 meV/atom



Record 18
# K2TcOs (PBE, optimized geometry)
data_K2TcOs
_cell_length_a 3.761
_cell_length_b 3.761
_cell_length_c 11.539
_cell_angle_alpha 90.00
_cell_angle_beta 90.00
_cell_angle_gamma 90.00
_space_group_name_H-M_alt 'I 4/m m m'
_space_group_IT_number 139
_space_group_name_Hall '-I 4 2'
loop_
_atom_site_label
_atom_site_type_symbol
_atom_site_fract_x
_atom_site_fract_y
_atom_site_fract_z
_atom_site_occupancy
K1 K 0.000 0.500 0.250 1
Tc1 Tc 0.000 0.000 0.000 1
Os1 Os 0.000 0.000 0.500 1
# total DFT energy (no corrections) = -36.766 eV/cell
# DFT formation energy = 31.18 kcal/mol of atoms
# magnetization = 0.00 Bohr magnetons per cell
# distance to the lowest polymorph of the same formula = 605 meV/atom



Record 19
# KTc2Os (PBE, optimized geometry)
data_KTc2Os
_cell_length_a 6.378
_cell_length_b 6.378
_cell_length_c 6.378
_cell_angle_alpha 90.00
_cell_angle_beta 90.00
_cell_angle_gamma 90.00
_space_group_name_H-M_alt 'F m -3 m'
_space_group_IT_number 225
_space_group_name_Hall '-F 4 2 3'
loop_
_atom_site_label
_atom_site_type_symbol
_atom_site_fract_x
_atom_site_fract_y
_atom_site_fract_z
_atom_site_occupancy
K1 K 0.000 0.000 0.000 1
Tc1 Tc 0.250 0.250 0.250 1
Os1 Os 0.000 0.000 0.500 1
# total DFT energy (no corrections) = -110.008 eV/cell
# DFT formation energy = 32.04 kcal/mol of atoms
# magnetization = 0.00 Bohr magnetons per cell
# distance to the lowest polymorph of the same formula = 682 meV/atom



Record 20
# K2TcOs (PBE, optimized geometry)
data_K2TcOs
_cell_length_a 3.193
_cell_length_b 3.856
_cell_length_c 20.423
_cell_angle_alpha 90.00
_cell_angle_beta 90.00
_cell_angle_gamma 90.00
_space_group_name_H-M_alt 'I m m m'
_space_group_IT_number 71
_space_group_name_Hall '-I 2 2'
loop_
_atom_site_label
_atom_site_type_symbol
_atom_site_fract_x
_atom_site_fract_y
_atom_site_fract_z
_atom_site_occupancy
K1 K 0.000 0.000 0.145 1
Tc1 Tc 0.000 0.500 0.000 1
Os1 Os 0.000 0.500 0.500 1
# total DFT energy (no corrections) = -40.901 eV/cell
# DFT formation energy = 19.26 kcal/mol of atoms
# magnetization = 0.00 Bohr magnetons per cell
# distance to the lowest polymorph of the same formula = 88 meV/atom